Pa2TiCrN6: relaxed, PBE.

Lattice parameters (Å, degrees): 4.6677 5.2724 5.2724 90.00 90.00 90.00
With the nearest neighbours (Å) after each atom.
Positions (direct):
Pa 0.9924 0.0000 0.5000  4 N 2.24
N 0.7271 0.7548 0.7548  1 Cr 1.95, 1 Ti 2.02
N 0.7271 0.2452 0.7548  1 Cr 1.95, 1 Ti 2.02
N 0.7271 0.7548 0.2452  1 Cr 1.95, 1 Ti 2.02
Cr 0.5799 0.0000 0.0000  1 N 1.71
N 0.1820 0.5000 0.5000  1 Ti 1.85
Ti 0.5785 0.5000 0.5000  5 N 1.85-2.02
Pa 0.9924 0.5000 0.0000  4 N 2.24
N 0.7271 0.2452 0.2452  1 Cr 1.95, 1 Ti 2.02
N 0.2130 0.0000 0.0000  1 Cr 1.71

Values from the calculation:
* symmetry: P4mm (99)
* formation energy from raw total energies: -1.133 eV per atom
* magnetization: 0.19 μB/atom

SmNiSn2: relaxed, PBE.

Lattice parameters (Å, degrees): 3.4267 3.4267 10.1314 80.26 80.26 60.00
With the nearest neighbours (Å) after each atom.
Positions (direct):
Sn 0.8927 0.8927 0.3219  3 Ni 2.65
Ni 0.5000 0.5000 0.5000  6 Sn 2.65
Sm 0.0000 0.0000 0.0000  2 Sn 3.20, 6 Sm 3.43
Sn 0.1073 0.1073 0.6781  3 Ni 2.65

Values from the calculation:
* symmetry: R-3m (166)
* ΔE_f: 0.05 eV/atom
* magnetization: 0.00 μB/atom

Tl2ReTe: relaxed, PBE.

Lattice parameters (Å, degrees): 4.9422 4.9422 4.9422 112.15 112.15 104.23
With the nearest neighbours (Å) after each atom.
Positions (direct):
Re 0.5000 0.5000 0.0000  6 Tl 3.03-3.15, 4 Te 3.15
Tl 0.2500 0.7500 0.5000  2 Te 3.03, 4 Tl 3.15, 4 Re 3.15
Te 0.7500 0.2500 0.5000  6 Tl 3.03-3.15, 4 Re 3.15
Tl 0.0000 0.0000 0.0000  2 Re 3.03, 4 Tl 3.15, 4 Te 3.15

Values from the calculation:
* symmetry: I-4m2 (119)
* formation energy from raw total energies: 1.011 eV per atom
* magnetization: 0.00 μB/atom

Li4CaAg: relaxed, PBE.

Lattice parameters (Å, degrees): 5.5998 5.5998 5.5998 60.00 60.00 60.00
With the nearest neighbours (Å) after each atom.
Positions (direct):
Ca 0.0000 0.0000 0.0000  12 Li 3.29, 4 Ag 3.43
Ag 0.2500 0.2500 0.2500  12 Li 3.28, 4 Ca 3.43
Li 0.6230 0.1310 0.6230  6 Li 2.75-2.84
Li 0.6230 0.6230 0.6230  6 Li 2.75-2.84
Li 0.6230 0.6230 0.1310  6 Li 2.75-2.84
Li 0.1310 0.6230 0.6230  6 Li 2.75-2.84

Values from the calculation:
* symmetry: F-43m (216)
* ΔE_f: -0.03 eV/atom
* magnetization: 0.00 μB/atom

Pm7CoPb2: relaxed, PBE.

Lattice parameters (Å, degrees): 7.6997 7.6997 7.6997 60.00 60.00 60.00
With the nearest neighbours (Å) after each atom.
Positions (direct):
Pm 0.7627 0.2373 0.2373  1 Co 2.58, 1 Pm 2.86
Pm 0.2373 0.7627 0.2373  1 Co 2.58, 1 Pm 2.86
Co 0.0000 0.0000 0.0000  6 Pm 2.58
Pm 0.7627 0.2373 0.7627  1 Co 2.58, 1 Pm 2.86
Pm 0.2373 0.2373 0.7627  1 Co 2.58, 1 Pm 2.86
Pm 0.7627 0.7627 0.2373  1 Co 2.58, 1 Pm 2.86
Pb 0.7500 0.7500 0.7500  12 Pm 3.85
Pm 0.2373 0.7627 0.7627  1 Co 2.58, 1 Pm 2.86
Pm 0.5000 0.5000 0.5000  6 Pm 2.86
Pb 0.2500 0.2500 0.2500  12 Pm 3.85

Values from the calculation:
* symmetry: Fm-3m (225)
* ΔE_f: 0.11 eV/atom
* magnetization: 0.00 μB/atom

NbTc6B4: relaxed, PBE.

Lattice parameters (Å, degrees): 5.7107 5.7107 5.7107 87.87 121.24 121.24
With the nearest neighbours (Å) after each atom.
Positions (direct):
Tc 0.5000 0.0000 0.5000  4 B 2.21
B 0.7135 0.4147 0.4147  2 B 1.87
Tc 0.0000 0.9174 0.5389  4 B 2.20-2.38
Nb 0.0000 0.0000 0.0000  8 Tc 2.69-2.80, 4 B 2.87
B 0.0000 0.5853 0.2988  2 B 1.87
Tc 0.6215 0.0826 0.0826  4 B 2.20-2.38
Tc 0.5000 0.5000 0.0000  4 B 2.21
Tc 0.3785 0.4611 0.4611  4 B 2.20-2.38
B 0.0000 0.2988 0.5853  2 B 1.87
B 0.2865 0.7012 0.7012  2 B 1.87
Tc 0.0000 0.5389 0.9174  4 B 2.20-2.38

Values from the calculation:
* symmetry: I-42m (121)
* ΔE_f: -0.24 eV/atom
* magnetization: 0.00 μB/atom

BaLiOs2: relaxed, PBE.

Lattice parameters (Å, degrees): 4.7438 5.9763 2.9473 77.46 85.75 112.25
With the nearest neighbours (Å) after each atom.
Positions (direct):
Li 0.5000 0.5000 0.0000  4 Ba 2.70-2.88, 2 Li 2.95
Os 0.0000 0.0000 0.0000  6 Os 2.70-2.95
Os 0.5000 0.0000 0.5000  6 Os 2.70-2.95
Ba 0.0000 0.5000 0.5000  4 Li 2.70-2.88, 2 Ba 2.95

Values from the calculation:
* symmetry: C2/m (12)
* ΔE_f: 0.97 eV/atom
* magnetization: 0.00 μB/atom

La2SnGePt6: relaxed, PBE.

Lattice parameters (Å, degrees): 6.6616 7.0277 8.7770 48.31 51.99 81.45
With the nearest neighbours (Å) after each atom.
Positions (direct):
Pt 0.7504 0.7432 0.5116  1 Ge 2.52, 1 Sn 2.66, 4 Pt 2.74-2.80
Sn 0.0000 0.0000 0.0000  6 Pt 2.66-2.68
Pt 0.7472 0.2514 0.1509  1 Ge 2.50, 1 Sn 2.68, 4 Pt 2.79
La 0.2460 0.7534 0.4616  7 Pt 3.06-3.41
Pt 0.7444 0.7507 0.9937  1 Ge 2.52, 1 Sn 2.66, 4 Pt 2.74-2.80
Pt 0.2496 0.2568 0.4884  1 Ge 2.52, 1 Sn 2.66, 4 Pt 2.74-2.80
La 0.7540 0.2466 0.5384  7 Pt 3.06-3.41
Pt 0.2528 0.7486 0.8491  1 Ge 2.50, 1 Sn 2.68, 4 Pt 2.79
Pt 0.2556 0.2493 0.0063  1 Ge 2.52, 1 Sn 2.66, 4 Pt 2.74-2.80
Ge 0.5000 0.5000 0.0000  6 Pt 2.50-2.52

Values from the calculation:
* symmetry: C2/m (12)
* ΔE_f: -0.81 eV/atom
* magnetization: 0.00 μB/atom

Co2SbSe: relaxed, PBE.

Lattice parameters (Å, degrees): 4.5495 4.5495 4.5495 60.00 60.00 60.00
With the nearest neighbours (Å) after each atom.
Positions (direct):
Co 0.2500 0.2500 0.2500  4 Sb 2.79, 4 Co 2.79
Se 0.7500 0.7500 0.7500  4 Co 2.79, 4 Sb 2.79
Co 0.0000 0.0000 0.0000  4 Co 2.79, 4 Se 2.79
Sb 0.5000 0.5000 0.5000  4 Se 2.79, 4 Co 2.79

Values from the calculation:
* symmetry: F-43m (216)
* formation energy from raw total energies: 0.720 eV per atom
* magnetization: 0.59 μB/atom

Ag2Pd2Au: relaxed, PBE.

Lattice parameters (Å, degrees): 5.7280 5.6900 10.6799 90.00 97.65 90.00
With the nearest neighbours (Å) after each atom.
Positions (direct):
Pd 0.3513 0.9835 0.8857  7 Ag 2.78-2.94, 1 Pd 2.79, 2 Au 2.83-2.86
Ag 0.3461 0.4852 0.8899  3 Ag 2.75-2.87, 5 Pd 2.78-2.91, 2 Au 2.96
Pd 0.2503 0.0003 0.5006  4 Pd 2.85-2.87, 4 Au 2.85-2.86, 4 Ag 2.86-2.87
Ag 0.6539 0.5148 0.1101  3 Ag 2.75-2.87, 5 Pd 2.78-2.91, 2 Au 2.96
Au 0.4519 0.2507 0.3095  6 Pd 2.83-2.86, 4 Ag 2.84-2.96, 2 Au 2.86
Pd 0.2497 0.5003 0.4994  4 Pd 2.85-2.87, 4 Au 2.85-2.86, 4 Ag 2.86-2.87
Pd 0.7497 0.9997 0.4994  4 Pd 2.85-2.87, 4 Au 2.85-2.86, 4 Ag 2.86-2.87
Ag 0.8461 0.0148 0.8899  3 Ag 2.75-2.87, 5 Pd 2.78-2.91, 2 Au 2.96
Ag 0.0484 0.2496 0.6923  2 Au 2.84-2.85, 6 Pd 2.86-2.94, 4 Ag 2.86-2.87
Ag 0.4516 0.7496 0.3077  2 Au 2.84-2.85, 6 Pd 2.86-2.94, 4 Ag 2.86-2.87
Ag 0.1539 0.9852 0.1101  3 Ag 2.75-2.87, 5 Pd 2.78-2.91, 2 Au 2.96
Pd 0.7503 0.4997 0.5006  4 Pd 2.85-2.87, 4 Au 2.85-2.86, 4 Ag 2.86-2.87
Au 0.0481 0.7507 0.6905  6 Pd 2.83-2.86, 4 Ag 2.84-2.96, 2 Au 2.86
Au 0.9519 0.2493 0.3095  6 Pd 2.83-2.86, 4 Ag 2.84-2.96, 2 Au 2.86
Ag 0.5484 0.2504 0.6923  2 Au 2.84-2.85, 6 Pd 2.86-2.94, 4 Ag 2.86-2.87
Au 0.5481 0.7493 0.6905  6 Pd 2.83-2.86, 4 Ag 2.84-2.96, 2 Au 2.86
Pd 0.8513 0.5165 0.8857  7 Ag 2.78-2.94, 1 Pd 2.79, 2 Au 2.83-2.86
Pd 0.6487 0.0165 0.1143  7 Ag 2.78-2.94, 1 Pd 2.79, 2 Au 2.83-2.86
Pd 0.1487 0.4835 0.1143  7 Ag 2.78-2.94, 1 Pd 2.79, 2 Au 2.83-2.86
Ag 0.9516 0.7504 0.3077  2 Au 2.84-2.85, 6 Pd 2.86-2.94, 4 Ag 2.86-2.87

Values from the calculation:
* symmetry: P2_1/c (14)
* ΔE_f: 0.00 eV/atom
* magnetization: 0.00 μB/atom

Nd2ThSb: relaxed, PBE.

Lattice parameters (Å, degrees): 4.0232 4.0232 7.5988 90.00 90.00 90.00
With the nearest neighbours (Å) after each atom.
Positions (direct):
Sb 0.5000 0.5000 0.5000  8 Nd 3.30
Th 0.5000 0.5000 0.0000  8 Nd 3.55, 2 Sb 3.80
Nd 0.0000 0.0000 0.7198  4 Sb 3.30, 1 Nd 3.34, 4 Th 3.55
Nd 0.0000 0.0000 0.2802  4 Sb 3.30, 1 Nd 3.34, 4 Th 3.55

Values from the calculation:
* symmetry: P4/mmm (123)
* formation energy from raw total energies: -0.493 eV per atom
* magnetization: 0.00 μB/atom

Ge4I2Cl5: relaxed, PBE.

Lattice parameters (Å, degrees): 7.1307 7.3484 8.3982 74.58 64.88 60.98
With the nearest neighbours (Å) after each atom.
Positions (direct):
I 0.2888 0.8187 0.6036  1 Ge 2.63
Ge 0.3855 0.9590 0.2700  2 Cl 2.57, 1 I 2.63
Cl 0.1838 0.2739 0.8664  2 Ge 2.48-2.57
Ge 0.1767 0.4646 0.1819  3 Cl 2.45-2.48
Cl 0.8162 0.7261 0.1336  2 Ge 2.48-2.57
I 0.7112 0.1813 0.3964  1 Ge 2.63
Ge 0.6145 0.0410 0.7300  2 Cl 2.57, 1 I 2.63
Cl 0.0000 0.5000 0.5000  2 Ge 2.45
Ge 0.8233 0.5354 0.8181  3 Cl 2.45-2.48
Cl 0.3240 0.7261 0.1336  2 Ge 2.48-2.57
Cl 0.6760 0.2739 0.8664  2 Ge 2.48-2.57

Values from the calculation:
* symmetry: C2/m (12)
* formation energy from raw total energies: -0.422 eV per atom
* magnetization: 0.00 μB/atom